Record 1
Computed, not measured: a geometry-optimized Tb3Y7Er structure at the PBE-GGA level of DFT.

Summary:
The energy of formation comes out at 0.1459 eV/atom. As for the total energy: -62.10 eV/cell.

Unit cell a=6.918 b=5.535 c=9.997 alpha=90.00 beta=109.41 gamma=90.00
Element x y z (fractional)
Tb1 0.000 0.000 0.000
Tb2 0.278 0.500 0.496
Tb3 0.722 0.500 0.504
Y1 0.000 0.000 0.500
Y2 0.149 0.500 0.789
Y3 0.318 0.500 0.136
Y4 0.422 0.000 0.330
Y5 0.578 0.000 0.670
Y6 0.682 0.500 0.864
Y7 0.851 0.500 0.211
Er1 0.500 0.000 0.000



Record 2
Computed, not measured: a geometry-optimized Y4Er3Co4 structure at the PBE-GGA level of DFT.

Summary:
The energy of formation comes out at -0.0789 eV/atom. As for the total energy: -68.84 eV/cell.

Unit cell a=9.130 b=9.130 c=9.130 alpha=157.42 beta=122.30 gamma=62.77
Element x y z (fractional)
Y1 0.020 0.835 0.185
Y2 0.350 0.165 0.185
Y3 0.650 0.835 0.815
Y4 0.980 0.165 0.815
Er1 0.000 0.500 0.500
Er2 0.397 0.397 0.000
Er3 0.603 0.603 0.000
Co1 0.255 0.755 0.500
Co2 0.287 0.000 0.287
Co3 0.713 0.000 0.713
Co4 0.745 0.245 0.500



Q: The highest energy of formation belongs to which entry?
A: Tb3Y7Er



Q: Look up the energy of formation of the second one.
A: -0.0789 eV/atom



What did the first record say?
Computed, not measured: a geometry-optimized Tb3Y7Er structure at the PBE-GGA level of DFT.

Summary:
The energy of formation comes out at 0.1459 eV/atom. As for the total energy: -62.10 eV/cell.

Unit cell a=6.918 b=5.535 c=9.997 alpha=90.00 beta=109.41 gamma=90.00
Element x y z (fractional)
Tb1 0.000 0.000 0.000
Tb2 0.278 0.500 0.496
Tb3 0.722 0.500 0.504
Y1 0.000 0.000 0.500
Y2 0.149 0.500 0.789
Y3 0.318 0.500 0.136
Y4 0.422 0.000 0.330
Y5 0.578 0.000 0.670
Y6 0.682 0.500 0.864
Y7 0.851 0.500 0.211
Er1 0.500 0.000 0.000



Q: Which value of energy of formation does entry 1 give?
A: 0.1459 eV/atom